[1]
Entry from Alexandria: crystalline AgRu2Cl at its relaxed geometry (PBE-GGA).

Summary:
total magnetization = 0.002 Bohr magnetons per cell
ΔE_f (raw) = 677 meV per atom
energy relative to the lowest polymorph listed for this composition = 448 meV/atom
space group = Cm, No. 8
calculated volume = 17.1 A^3/atom
DOS(E_F) = 1.148 states/eV/atom

The structure in POSCAR format:
```
AgRu2Cl
1.0
5.3127 0.0031 0.0485
4.5692 2.7105 0.0485
2.1714 0.5963 4.7766
Cl Ru Ag
1 2 1
Cartesian
3.2994 0.9060 0.9236 Cl
9.0771 2.4926 4.3646 Ru
2.0848 0.5725 4.4787 Ru
5.7899 1.5899 2.3202 Ag
```

---

[2]
Entry from Alexandria: crystalline Ag5Ru2Cl12 at its relaxed geometry (PBE-GGA).

Summary:
total magnetization = 2.302 Bohr magnetons per cell
ΔE_f (raw) = -443 meV per atom
space group = C2/m, No. 12
calculated volume = 25.6 A^3/atom
DOS(E_F) = 0.573 states/eV/atom

The structure in POSCAR format:
```
Ag5Ru2Cl12
1.0
-3.3405 -2.3562 -5.9861
9.2178 -2.3022 -4.2378
-1.5025 -4.0296 6.8134
Cl Ag Ru
12 5 2
Cartesian
6.5784 -3.4733 -4.3860 Cl
4.8227 -4.7117 -7.5322 Cl
5.4584 -6.0638 -0.6593 Cl
2.6458 -4.1359 2.3160 Cl
3.7545 -7.2546 -3.6285 Cl
-0.4479 -3.9762 4.1218 Cl
-2.2036 -5.2146 0.9755 Cl
1.7290 -4.5521 -5.7264 Cl
-1.0836 -2.6241 -2.7512 Cl
0.6203 -1.4333 0.2180 Cl
0.9983 -5.2979 -0.6363 Cl
3.3765 -3.3900 -2.7742 Cl
0.1388 -4.6458 1.7512 Ag
4.6089 -1.1511 -2.1189 Ag
4.2360 -4.0422 -5.1617 Ag
0.9505 -4.4128 -3.1823 Ag
3.4242 -4.2751 -0.2281 Ag
-2.5087 -1.7695 -4.4955 Ru
-0.8318 -0.5867 -1.4905 Ru
```

---

[3]
Entry from Alexandria: crystalline AgRuCl2 at its relaxed geometry (PBE-GGA).

Summary:
total magnetization = 0.000 Bohr magnetons per cell
ΔE_f (raw) = 405 meV per atom
energy relative to the lowest polymorph listed for this composition = 404 meV/atom
space group = I-42d, No. 122
calculated volume = 23.5 A^3/atom
DOS(E_F) = 0.936 states/eV/atom

The structure in POSCAR format:
```
AgRuCl2
1.0
-2.3541 -4.0808 -2.7840
4.8028 -1.1689 -2.3478
2.5512 -6.5884 2.1217
Cl Ag Ru
4 2 2
Cartesian
-0.1151 -4.1389 -1.3634 Cl
3.2272 -3.0926 -1.4247 Cl
3.8150 -9.4761 -2.7812 Cl
3.0727 -6.9686 -0.4510 Cl
0.0000 0.0000 0.0000 Ag
0.7107 -6.6470 -1.6141 Ag
4.2892 -5.1911 -1.3960 Ru
1.2243 -2.6249 -2.5659 Ru
```

---

[4]
Entry from Alexandria: crystalline AgRu2Cl at its relaxed geometry (PBE-GGA).

Summary:
total magnetization = 0.000 Bohr magnetons per cell
ΔE_f (raw) = 772 meV per atom
energy relative to the lowest polymorph listed for this composition = 542 meV/atom
space group = P2/m, No. 10
calculated volume = 15.5 A^3/atom
DOS(E_F) = 0.981 states/eV/atom

The structure in POSCAR format:
```
AgRu2Cl
1.0
3.9956 0.0000 0.0000
0.0000 2.9076 -0.0003
0.0000 1.3356 5.3410
Ag Cl Ru
1 1 2
Cartesian
1.9978 1.0608 1.3352 Ag
1.9978 3.1824 4.0055 Cl
0.0000 2.5131 2.8513 Ru
0.0000 3.8517 5.1597 Ru
```

---

[5]
Entry from Alexandria: crystalline AgRuCl2 at its relaxed geometry (PBE-GGA).

Summary:
total magnetization = 2.501 Bohr magnetons per cell
ΔE_f (raw) = 417 meV per atom
energy relative to the lowest polymorph listed for this composition = 416 meV/atom
space group = Pmmm, No. 47
calculated volume = 20.1 A^3/atom
DOS(E_F) = 0.989 states/eV/atom

The structure in POSCAR format:
```
AgRuCl2
1.0
3.1984 0.0000 0.0000
0.0000 6.2217 0.0000
0.0000 0.0000 4.0470
Ru Cl Ag
1 2 1
Cartesian
1.5992 0.0000 2.0235 Ru
1.5992 3.1108 0.0000 Cl
0.0000 0.0000 0.0000 Cl
0.0000 3.1108 2.0235 Ag
```

---

[6]
Entry from Alexandria: crystalline AgRu2Cl at its relaxed geometry (PBE-GGA).

Summary:
total magnetization = 0.006 Bohr magnetons per cell
ΔE_f (raw) = 754 meV per atom
energy relative to the lowest polymorph listed for this composition = 524 meV/atom
space group = Cmmm, No. 65
calculated volume = 15.7 A^3/atom
DOS(E_F) = 1.357 states/eV/atom

The structure in POSCAR format:
```
AgRu2Cl
1.0
-0.5204 1.9876 -1.9831
-2.1037 -1.0434 1.6248
1.4875 6.4329 6.0573
Cl Ru Ag
1 2 1
Cartesian
-0.1965 5.2968 4.3638 Cl
1.4550 6.2925 5.9250 Ru
0.7762 3.3569 3.1609 Ru
-0.9402 2.0803 1.3351 Ag
```

---

[7]
Entry from Alexandria: crystalline AgRu2Cl at its relaxed geometry (PBE-GGA).

Summary:
total magnetization = 0.709 Bohr magnetons per cell
ΔE_f (raw) = 896 meV per atom
energy relative to the lowest polymorph listed for this composition = 666 meV/atom
space group = P4/mmm, No. 123
calculated volume = 15.1 A^3/atom
DOS(E_F) = 1.542 states/eV/atom

The structure in POSCAR format:
```
AgRu2Cl
1.0
2.9144 0.0000 0.0000
0.0000 2.9144 0.0000
0.0000 0.0000 7.1256
Ru Cl Ag
2 1 1
Cartesian
0.0000 0.0000 6.9178 Ru
0.0000 0.0000 3.7705 Ru
1.4572 1.4572 5.3442 Cl
1.4572 1.4572 1.7814 Ag
```

---

[8]
Entry from Alexandria: crystalline AgRu2Cl at its relaxed geometry (PBE-GGA).

Summary:
total magnetization = 1.020 Bohr magnetons per cell
ΔE_f (raw) = 515 meV per atom
energy relative to the lowest polymorph listed for this composition = 285 meV/atom
space group = Cmm2, No. 35
calculated volume = 16.4 A^3/atom
DOS(E_F) = 0.926 states/eV/atom

The structure in POSCAR format:
```
AgRu2Cl
1.0
2.8756 -0.0012 0.0000
-1.4500 2.4833 0.0000
0.0000 0.0000 9.1717
Ag Ru Cl
1 2 1
Cartesian
0.0000 0.0000 4.5534 Ag
0.7128 1.2411 2.0921 Ru
0.0000 0.0000 9.1546 Ru
0.7128 1.2411 7.1292 Cl
```